VASP calculation (PBE) on a geometry-optimized CsHfMg structure.

abc: 5.3512 5.3512 5.3512
angles: 60.00 60.00 60.00
With the nearest neighbours (Å) after each atom.
Positions (direct):
1 Cs 0.0000 0.0000 0.0000  4 Hf 3.28, 4 Mg 3.28
2 Hf 0.7500 0.7500 0.7500  4 Cs 3.28
3 Mg 0.2500 0.2500 0.2500  4 Cs 3.28

Summary:
Energy relative to the lowest polymorph listed for this composition: 347 meV per atom